# 1
# LaPm6PrEr2

LaPm6PrEr2 after structural relaxation (PBE, the Alexandria database).

Structure (POSCAR):
```
LaPm6PrEr2
1.0
4.6951 -7.6158 0.0000
4.6951 7.6158 0.0000
-1.1851 0.0000 9.6630
La Pm Pr Er
2 12 2 4
Direct
0.0940 0.9060 0.7500
0.9060 0.0940 0.2500
0.0166 0.7959 0.3814
0.0613 0.5171 0.1788
0.2041 0.9834 0.1186
0.2584 0.6075 0.5577
0.3925 0.7416 0.9423
0.4829 0.9387 0.3212
0.5171 0.0613 0.6788
0.6075 0.2584 0.0577
0.7416 0.3925 0.4423
0.7959 0.0166 0.8814
0.9387 0.4829 0.8212
0.9834 0.2041 0.6186
0.4648 0.5352 0.2500
0.5352 0.4648 0.7500
0.2048 0.3021 0.9498
0.3021 0.2048 0.4498
0.6979 0.7952 0.5502
0.7952 0.6979 0.0502
```

Summary:
Formation enthalpy at 0 K ... 109 kJ/mol of formula units
M_tot ... 0.000 μB per formula unit

=====

# 2
# ZrTeO6

ZrTeO6 after structural relaxation (PBE, the Alexandria database).

Structure (POSCAR):
```
ZrTeO6
1.0
2.8265 1.6319 4.6207
-2.8265 1.6319 4.6207
0.0000 -3.2637 4.6207
Zr Te O
1 1 6
Direct
0.0000 0.0000 0.0000
0.5000 0.5000 0.5000
0.2589 0.7388 0.2634
0.2612 0.7366 0.7411
0.2634 0.2589 0.7388
0.7366 0.7411 0.2612
0.7388 0.2634 0.2589
0.7411 0.2612 0.7366
```

Summary:
E_form (uncorrected) ... -1.41 eV per atom
M_tot ... 1.980 μB per formula unit

=====

# 3
# CaRuClF2

CaRuClF2 after structural relaxation (PBE, the Alexandria database).

Structure (POSCAR):
```
CaRuClF2
1.0
4.1773 0.0000 0.0000
0.0000 4.1773 0.0000
0.0000 0.0000 7.6107
Ca Ru Cl F
1 1 1 2
Direct
0.0000 0.0000 0.0000
0.0000 0.0000 0.5000
0.5000 0.5000 0.5000
0.0000 0.5000 0.0000
0.5000 0.0000 0.0000
```

Summary:
E_form (uncorrected) ... -1.39 eV per atom
M_tot ... 3.033 μB per formula unit

=====

# 4
# HfAsP2Br

HfAsP2Br after structural relaxation (PBE, the Alexandria database).

Structure (POSCAR):
```
HfAsP2Br
1.0
4.7468 0.0000 0.0000
0.0000 4.7468 0.0000
0.0000 0.0000 5.0710
Hf As P Br
1 1 2 1
Direct
0.0000 0.0000 0.0000
0.5000 0.5000 0.0000
0.0000 0.5000 0.5000
0.5000 0.0000 0.5000
0.0000 0.0000 0.5000
```

Summary:
E_form (uncorrected) ... 1.30 eV per atom
M_tot ... 0.000 μB per formula unit

=====

# 5
# ScTiTcHg

ScTiTcHg after structural relaxation (PBE, the Alexandria database).

Structure (POSCAR):
```
ScTiTcHg
1.0
6.5820 0.0000 0.0000
0.0000 6.5820 0.0000
0.0000 0.0000 6.5820
Sc Ti Tc Hg
4 4 4 4
Direct
0.0000 0.0000 0.0000
0.0000 0.5000 0.5000
0.5000 0.0000 0.5000
0.5000 0.5000 0.0000
0.0000 0.0000 0.5000
0.0000 0.5000 0.0000
0.5000 0.0000 0.0000
0.5000 0.5000 0.5000
0.2500 0.2500 0.2500
0.2500 0.7500 0.7500
0.7500 0.2500 0.7500
0.7500 0.7500 0.2500
0.2500 0.2500 0.7500
0.2500 0.7500 0.2500
0.7500 0.2500 0.2500
0.7500 0.7500 0.7500
```

Summary:
Formation enthalpy at 0 K ... -71 kJ/mol of formula units
M_tot ... 0.000 μB per formula unit

=====

# 6
# ZrNpNbIr

ZrNpNbIr after structural relaxation (PBE, the Alexandria database).

Structure (POSCAR):
```
ZrNpNbIr
1.0
6.6992 0.0000 0.0000
0.0000 6.6992 0.0000
0.0000 0.0000 6.6992
Zr Np Nb Ir
4 4 4 4
Direct
0.0000 0.0000 0.0000
0.0000 0.5000 0.5000
0.5000 0.0000 0.5000
0.5000 0.5000 0.0000
0.2500 0.2500 0.2500
0.2500 0.7500 0.7500
0.7500 0.2500 0.7500
0.7500 0.7500 0.2500
0.0000 0.0000 0.5000
0.0000 0.5000 0.0000
0.5000 0.0000 0.0000
0.5000 0.5000 0.5000
0.2500 0.2500 0.7500
0.2500 0.7500 0.2500
0.7500 0.2500 0.2500
0.7500 0.7500 0.7500
```

Summary:
Formation enthalpy at 0 K ... 18 kJ/mol of formula units
M_tot ... 3.887 μB per formula unit